Density functional theory data (PBE) for an optimized crystal structure of LaGdCl2O2.

Cell and atoms, written as extended XYZ:
```
6
Lattice="4.044 0.000 0.000 0.000 4.044 0.000 0.000 0.000 6.910" Properties=species:S:1:pos:R:3 pbc="T T T"
La 0.000 0.000 0.000
Gd 2.022 2.022 4.538
Cl 0.000 0.000 3.165
Cl 2.022 2.022 1.370
O 0.000 2.022 5.655
O 2.022 0.000 5.655
```

For the spin magnetization, the calculation gives 6.966 μB per formula unit. The space group is No. 99. The total energy is -51.19 eV for the cell shown.